Record 1
Material: K2MoBr4Cl2
Method: DFT, PBE-GGA
State: optimized geometry

Cell lengths 7.307, 7.307, 7.586 Å; angles 121.08, 121.08, 61.80 degrees
Atoms (fractional coordinates):
K1 0.248 0.248 0.232
K2 0.752 0.752 0.768
Mo1 0.000 0.000 0.500
Br1 0.210 0.728 0.706
Br2 0.272 0.790 0.294
Br3 0.728 0.210 0.706
Br4 0.790 0.272 0.294
Cl1 0.234 0.234 0.789
Cl2 0.766 0.766 0.211

Results
Space group = C2/m
E_form (uncorrected) = -1.18 eV per atom
Magnetization = 2.00 μB per formula unit
Crystal system = monoclinic

***

Record 2
Material: Nd3YAl8
Method: DFT, PBE-GGA
State: optimized geometry

Cell lengths 9.823, 9.823, 9.823 Å; angles 33.44, 33.44, 33.44 degrees
Atoms (fractional coordinates):
Nd1 0.000 0.000 0.000
Nd2 0.125 0.125 0.125
Nd3 0.500 0.500 0.500
Y1 0.624 0.624 0.624
Al1 0.061 0.562 0.562
Al2 0.063 0.063 0.564
Al3 0.063 0.564 0.063
Al4 0.312 0.312 0.312
Al5 0.562 0.061 0.562
Al6 0.562 0.562 0.061
Al7 0.564 0.063 0.063
Al8 0.813 0.813 0.813

Results
Space group = R3m
DFT formation energy = -0.5034 eV/atom
Magnetization = 0.00 μB per formula unit
Crystal system = trigonal

***

Record 3
Material: Ca2CrSe
Method: DFT, PBE-GGA
State: optimized geometry

Cell lengths 3.736, 3.762, 7.250 Å; angles 90.00, 90.00, 90.00 degrees
Atoms (fractional coordinates):
Ca1 0.000 0.000 0.235
Ca2 0.000 0.000 0.765
Cr1 0.500 0.500 0.500
Se1 0.500 0.500 0.000

Results
Space group = Pmmm
E_form (uncorrected) = -0.45 eV per atom
Magnetization = 4.66 μB per formula unit
Crystal system = orthorhombic

***

Record 4
Material: KSi2SnS
Method: DFT, PBE-GGA
State: optimized geometry

Cell lengths 4.969, 4.969, 5.464 Å; angles 90.00, 90.00, 90.00 degrees
Atoms (fractional coordinates):
K1 0.000 0.000 0.000
Si1 0.000 0.500 0.500
Si2 0.500 0.000 0.500
Sn1 0.500 0.500 0.000
S1 0.500 0.500 0.500

Results
Space group = P4/mmm
E_form (uncorrected) = 0.52 eV per atom
Magnetization = 0.00 μB per formula unit
Crystal system = tetragonal

***

Record 5
Material: Li2ThSiN4
Method: DFT, PBE-GGA
State: optimized geometry

Cell lengths 4.956, 4.956, 4.956 Å; angles 115.22, 115.22, 98.51 degrees
Atoms (fractional coordinates):
Li1 0.250 0.750 0.500
Li2 0.750 0.250 0.500
Th1 0.000 0.000 0.000
Si1 0.500 0.500 0.000
N1 0.157 0.547 0.000
N2 0.453 0.453 0.610
N3 0.547 0.157 0.000
N4 0.843 0.843 0.390

Results
Space group = I-42m
E_form (uncorrected) = -0.72 eV per atom
Magnetization = 0.00 μB per formula unit
Crystal system = tetragonal

***

Record 6
Material: Al2InMo
Method: DFT, PBE-GGA
State: optimized geometry

Cell lengths 2.861, 2.861, 8.693 Å; angles 90.00, 90.00, 90.00 degrees
Atoms (fractional coordinates):
Al1 0.000 0.000 0.000
Al2 0.500 0.500 0.237
In1 0.000 0.000 0.522
Mo1 0.500 0.500 0.781

Results
Space group = P4mm
DFT formation energy = 0.1608 eV/atom
Magnetization = 0.00 μB per formula unit
Crystal system = tetragonal

***

Record 7
Material: MnIn
Method: DFT, PBE-GGA
State: optimized geometry

Cell lengths 5.428, 5.428, 5.583 Å; angles 90.00, 90.00, 90.00 degrees
Atoms (fractional coordinates):
Mn1 0.182 0.182 0.000
Mn2 0.318 0.682 0.500
Mn3 0.682 0.318 0.500
Mn4 0.818 0.818 0.000
In1 0.193 0.193 0.500
In2 0.307 0.693 0.000
In3 0.693 0.307 0.000
In4 0.807 0.807 0.500

Results
Space group = P4_2/mnm
DFT formation energy = 0.5298 eV/atom
Magnetization = 3.46 μB per formula unit
Crystal system = tetragonal

***

Record 8
Material: NaZrGeP2
Method: DFT, PBE-GGA
State: optimized geometry

Cell lengths 4.821, 4.821, 4.579 Å; angles 90.00, 90.00, 90.00 degrees
Atoms (fractional coordinates):
Na1 0.000 0.000 0.000
Zr1 0.500 0.500 0.000
Ge1 0.000 0.000 0.500
P1 0.000 0.500 0.500
P2 0.500 0.000 0.500

Results
Space group = P4/mmm
DFT formation energy = 0.7220 eV/atom
Magnetization = 0.00 μB per formula unit
Crystal system = tetragonal

***

Record 9
Material: ScCuNiB2
Method: DFT, PBE-GGA
State: optimized geometry

Cell lengths 3.812, 3.812, 4.768 Å; angles 90.00, 90.00, 90.00 degrees
Atoms (fractional coordinates):
Sc1 0.000 0.000 0.000
Cu1 0.500 0.500 0.000
Ni1 0.000 0.000 0.500
B1 0.000 0.500 0.500
B2 0.500 0.000 0.500

Results
Space group = P4/mmm
DFT formation energy = 0.5951 eV/atom
Magnetization = 0.00 μB per formula unit
Crystal system = tetragonal

***

Record 10
Material: NaTiAl
Method: DFT, PBE-GGA
State: optimized geometry

Cell lengths 4.848, 4.848, 10.590 Å; angles 90.00, 90.00, 120.00 degrees
Atoms (fractional coordinates):
Na1 0.333 0.667 0.250
Na2 0.667 0.333 0.750
Ti1 0.000 0.000 0.000
Ti2 0.000 0.000 0.500
Al1 0.000 0.000 0.250
Al2 0.000 0.000 0.750

Results
Space group = P6_3/mmc
DFT formation energy = 1.3834 eV/atom
Magnetization = 2.54 μB per formula unit
Crystal system = hexagonal

***

Record 11
Material: SrCa2Ta
Method: DFT, PBE-GGA
State: optimized geometry

Cell lengths 3.443, 5.614, 7.075 Å; angles 90.00, 103.99, 90.00 degrees
Atoms (fractional coordinates):
Sr1 0.000 0.000 0.000
Ca1 0.338 0.500 0.676
Ca2 0.731 0.000 0.453
Ta1 0.609 0.500 0.225

Results
Space group = Pm
DFT formation energy = 0.7620 eV/atom
Magnetization = 2.53 μB per formula unit
Crystal system = monoclinic

***

Record 12
Material: LiTe4
Method: DFT, PBE-GGA
State: optimized geometry

Cell lengths 5.128, 5.128, 5.128 Å; angles 90.00, 90.00, 90.00 degrees
Atoms (fractional coordinates):
Li1 0.000 0.000 0.000
Te1 0.000 0.000 0.500
Te2 0.000 0.500 0.000
Te3 0.500 0.000 0.000
Te4 0.500 0.500 0.500

Results
Space group = Pm-3m
E_form (uncorrected) = 0.23 eV per atom
Magnetization = 0.00 μB per formula unit
Crystal system = cubic

***

Which of these has the highest magnetization?
Ca2CrSe